1.
VASP calculation (PBE-GGA) on PuMgGaCu after structural relaxation.

Cell: 4.806 4.806 4.806 Å, 60.00 60.00 60.00°
Positions (direct):
Pu 0.000 0.000 0.000
Mg 0.500 0.500 0.500
Ga 0.750 0.750 0.750
Cu 0.250 0.250 0.250

Computed properties:
total moment: 5.45 μB per formula unit
E: -23.6 eV/cell
formation energy: -0.144 eV/atom

***

2.
VASP calculation (PBE-GGA) on KCr2P after structural relaxation.

Cell: 5.866 5.866 5.866 Å, 155.35 126.84 59.44°
Positions (direct):
K 0.000 0.000 0.000
Cr 0.304 0.804 0.500
Cr 0.696 0.196 0.500
P 0.500 0.500 0.000

Computed properties:
total moment: 0.02 μB per formula unit
E: -22.4 eV/cell
formation energy: 0.837 eV/atom

***

3.
VASP calculation (PBE-GGA) on Ba2IrPb after structural relaxation.

Cell: 4.557 6.502 6.502 Å, 47.62 90.00 90.00°
Positions (direct):
Ba 0.000 0.000 0.000
Ba 0.500 0.295 0.295
Ir 0.000 0.728 0.728
Pb 0.500 0.600 0.600

Computed properties:
total moment: 0.00 μB per formula unit
E: -17.2 eV/cell
formation energy: -0.197 eV/atom

***

4.
VASP calculation (PBE-GGA) on TaAsSe3 after structural relaxation.

Cell: 5.044 5.044 5.044 Å, 90.00 90.00 90.00°
Positions (direct):
Ta 0.000 0.000 0.000
As 0.500 0.500 0.500
Se 0.000 0.000 0.500
Se 0.000 0.500 0.000
Se 0.500 0.000 0.000

Computed properties:
total moment: 1.92 μB per formula unit
relative energy among the computed polymorphs: 3.44 eV per formula unit
E: -25.7 eV/cell

***

5.
VASP calculation (PBE-GGA) on Pm6SmY3Th2 after structural relaxation.

Cell: 6.264 6.264 12.013 Å, 94.99 94.99 119.93°
Positions (direct):
Pm 0.080 0.417 0.753
Pm 0.245 0.245 0.248
Pm 0.417 0.080 0.753
Pm 0.583 0.920 0.247
Pm 0.755 0.755 0.752
Pm 0.920 0.583 0.247
Sm 0.500 0.500 0.000
Y 0.000 0.000 0.500
Y 0.333 0.667 0.500
Y 0.667 0.333 0.500
Th 0.167 0.833 0.000
Th 0.833 0.167 0.000

Computed properties:
total moment: 0.00 μB per formula unit
E: -67.0 eV/cell
formation energy: 0.037 eV/atom

***

6.
VASP calculation (PBE-GGA) on Ac4InIrI2 after structural relaxation.

Cell: 8.312 4.471 8.970 Å, 90.00 107.40 90.00°
Positions (direct):
Ac 0.213 0.000 0.189
Ac 0.223 0.500 0.802
Ac 0.777 0.500 0.198
Ac 0.787 0.000 0.811
In 0.500 0.000 0.000
Ir 0.000 0.500 0.000
I 0.000 0.000 0.500
I 0.500 0.500 0.500

Computed properties:
total moment: 0.00 μB per formula unit
E: -37.8 eV/cell

***

7.
VASP calculation (PBE-GGA) on SiAgPt2 after structural relaxation.

Cell: 4.973 4.973 4.973 Å, 139.86 125.46 69.84°
Positions (direct):
Si 0.000 0.000 0.000
Ag 0.500 0.500 0.000
Pt 0.206 0.706 0.500
Pt 0.794 0.294 0.500

Computed properties:
total moment: 0.00 μB per formula unit
E: -21.6 eV/cell

***

8.
VASP calculation (PBE-GGA) on In2CoTc after structural relaxation.

Cell: 3.179 3.179 6.517 Å, 90.00 90.00 90.00°
Positions (direct):
In 0.000 0.000 0.235
In 0.000 0.000 0.765
Co 0.500 0.500 0.000
Tc 0.500 0.500 0.500

Computed properties:
total moment: 1.78 μB per formula unit
relative energy among the computed polymorphs: 0.22 eV per formula unit
E: -21.8 eV/cell
formation energy: 0.282 eV/atom

***

9.
VASP calculation (PBE-GGA) on Er4TlSnO after structural relaxation.

Cell: 8.930 8.930 6.409 Å, 90.00 90.00 137.86°
Positions (direct):
Er 0.000 0.500 0.000
Er 0.000 0.500 0.500
Er 0.070 0.930 0.750
Er 0.418 0.582 0.750
Er 0.500 0.000 0.000
Er 0.500 0.000 0.500
Er 0.582 0.418 0.250
Er 0.930 0.070 0.250
Tl 0.112 0.888 0.250
Tl 0.888 0.112 0.750
Sn 0.390 0.610 0.250
Sn 0.610 0.390 0.750
O 0.270 0.730 0.750
O 0.730 0.270 0.250

Computed properties:
total moment: 0.00 μB per formula unit
E: -75.6 eV/cell

***

10.
VASP calculation (PBE-GGA) on LiInAg2H after structural relaxation.

Cell: 4.308 4.308 4.055 Å, 90.00 90.00 90.00°
Positions (direct):
Li 0.000 0.000 0.000
In 0.500 0.500 0.000
Ag 0.000 0.500 0.500
Ag 0.500 0.000 0.500
H 0.000 0.000 0.500

Computed properties:
total moment: 0.00 μB per formula unit
E: -13.9 eV/cell

***

- Which value of total moment does entry 5 give?
  0.00 μB per formula unit

***

Repeat the fifth record exactly.
VASP calculation (PBE-GGA) on Pm6SmY3Th2 after structural relaxation.

Cell: 6.264 6.264 12.013 Å, 94.99 94.99 119.93°
Positions (direct):
Pm 0.080 0.417 0.753
Pm 0.245 0.245 0.248
Pm 0.417 0.080 0.753
Pm 0.583 0.920 0.247
Pm 0.755 0.755 0.752
Pm 0.920 0.583 0.247
Sm 0.500 0.500 0.000
Y 0.000 0.000 0.500
Y 0.333 0.667 0.500
Y 0.667 0.333 0.500
Th 0.167 0.833 0.000
Th 0.833 0.167 0.000

Computed properties:
total moment: 0.00 μB per formula unit
E: -67.0 eV/cell
formation energy: 0.037 eV/atom

***

- total moment of number 10 (LiInAg2H)?
  0.00 μB per formula unit